Computed, not measured: a relaxed structure of ThNi5Ge3 at the PBE-GGA level of DFT.

a b c (Å): 3.7755 6.3333 11.8442
angles (deg): 90.00 90.00 107.34
With the nearest neighbours (Å) after each atom.
Sites, in units of the cell vectors:
Th (0.8389, 0.6778, 0.7500)  7 Ge 3.16-3.32, 8 Ni 3.36-3.38
Th (0.1611, 0.3222, 0.2500)  7 Ge 3.16-3.32, 8 Ni 3.36-3.38
Ni (0.8058, 0.6116, 0.4322)  4 Ge 2.27-2.46, 1 Ni 2.48
Ni (0.1942, 0.3884, 0.9322)  4 Ge 2.27-2.46, 1 Ni 2.48
Ni (0.0000, 0.0000, 0.5000)  4 Ge 2.43, 6 Ni 2.48-2.62
Ni (0.0000, 0.0000, 0.0000)  4 Ge 2.43, 6 Ni 2.48-2.62
Ni (0.4527, 0.9053, 0.1461)  4 Ge 2.37-2.39, 3 Ni 2.46-2.62
Ni (0.5473, 0.0947, 0.8539)  4 Ge 2.37-2.39, 3 Ni 2.46-2.62
Ni (0.5473, 0.0947, 0.6461)  4 Ge 2.37-2.39, 3 Ni 2.46-2.62
Ni (0.8058, 0.6116, 0.0678)  4 Ge 2.27-2.46, 1 Ni 2.48
Ni (0.1942, 0.3884, 0.5678)  4 Ge 2.27-2.46, 1 Ni 2.48
Ni (0.4527, 0.9053, 0.3539)  4 Ge 2.37-2.39, 3 Ni 2.46-2.62
Ge (0.3804, 0.7607, 0.9592)  7 Ni 2.27-2.46
Ge (0.8863, 0.7725, 0.2500)  6 Ni 2.37-2.39
Ge (0.3804, 0.7607, 0.5408)  7 Ni 2.27-2.46
Ge (0.6196, 0.2393, 0.4592)  7 Ni 2.27-2.46
Ge (0.1137, 0.2275, 0.7500)  6 Ni 2.37-2.39
Ge (0.6196, 0.2393, 0.0408)  7 Ni 2.27-2.46

Output
The value obtained for the density of states at the Fermi level is 13.6 states/eV/cell. As for the space group: Cmcm, No. 63. The total moment is 0.00 Bohr magnetons per cell. For the total energy, the calculation gives -6.06 eV per atom.